Record 1
{
  "formula": "Sr2CaBe",
  "functional": "GGA-PBE",
  "state": "relaxed",
  "cell": [[-4.4624, 3.3463, 0.6283], [-1.5097, -2.8893, 4.5694], [2.4879, 2.8277, 2.6100]],
  "species": ["Ca", "Be", "Sr", "Sr"],
  "frac_coords": [[0.0000, 0.5000, 0.5000], [0.5000, 0.0000, 0.5000], [0.5000, 0.5000, 0.0000], [0.0000, 0.0000, 0.0000]],
  "total_energy_ev_per_atom": -1.820,
  "ef_ev_per_atom": 0.45,
  "spacegroup": "No. 65"
}

Record 2
{
  "formula": "Ba2Ca2Cd3",
  "functional": "GGA-PBE",
  "state": "relaxed",
  "cell": [[5.3648, -0.0007, -1.4977], [-2.8912, 4.7618, -0.0019], [-0.0363, -0.0195, 10.2273]],
  "species": ["Ba", "Cd", "Cd", "Ca", "Ca", "Cd", "Ba"],
  "frac_coords": [[0.7535, 0.8764, 0.6305], [0.5186, 0.2589, 0.7781], [0.4814, 0.7411, 0.2219], [0.2587, 0.6291, 0.8881], [0.7413, 0.3709, 0.1119], [0.0000, 0.0000, 0.0000], [0.2465, 0.1236, 0.3695]],
  "total_energy_ev_per_atom": -1.766,
  "ef_ev_per_atom": -0.25,
  "spacegroup": "No. 166"
}

Record 3
{
  "formula": "Sr2NpOsN5",
  "functional": "GGA-PBE",
  "state": "relaxed",
  "cell": [[-2.0260, 0.5901, -2.8117], [-4.4236, -4.2175, 4.5001], [-3.9253, 9.1939, 4.7579]],
  "species": ["N", "N", "N", "N", "N", "N", "Np", "N", "N", "Sr", "Os", "Sr", "N", "Np", "Sr", "Os", "N", "Sr"],
  "frac_coords": [[0.6654, 0.3307, 0.5047], [0.5006, 0.0013, 0.2916], [0.6852, 0.3703, 0.9067], [0.9630, 0.9260, 0.5182], [0.4994, 0.9987, 0.7916], [0.3346, 0.6693, 0.0047], [0.7983, 0.5965, 0.5293], [0.7072, 0.4145, 0.1475], [0.0370, 0.0740, 0.0182], [0.1063, 0.2126, 0.6623], [0.5518, 0.1037, 0.9354], [0.8937, 0.7874, 0.1623], [0.2928, 0.5855, 0.6475], [0.2017, 0.4035, 0.0293], [0.8582, 0.7164, 0.8283], [0.4482, 0.8963, 0.4354], [0.3148, 0.6297, 0.4067], [0.1418, 0.2836, 0.3283]],
  "total_energy_ev_per_atom": -8.252,
  "raw_formation_energy_kj_per_mol_atoms": -55,
  "spacegroup": "No. 36"
}

Record 4
{
  "formula": "Rb2Cd2H5",
  "functional": "GGA-PBE",
  "state": "relaxed",
  "cell": [[-0.8989, 0.5284, 4.3321], [2.1092, -5.9314, -1.1303], [5.2799, 3.8844, 0.6218]],
  "species": ["H", "Rb", "H", "H", "Rb", "Cd", "H", "Cd", "H"],
  "frac_coords": [[0.1447, 0.2894, 0.6160], [0.4047, 0.8093, 0.6786], [0.6665, 0.3329, 0.9490], [0.8553, 0.7106, 0.3840], [0.5953, 0.1907, 0.3214], [0.8460, 0.6921, 0.0960], [0.0000, 0.0000, 0.0000], [0.1540, 0.3079, 0.9040], [0.3335, 0.6671, 0.0510]],
  "total_energy_ev_per_atom": -2.247,
  "spacegroup": "No. 12"
}

Record 5
{
  "formula": "CaP2Se",
  "functional": "GGA-PBE",
  "state": "relaxed",
  "cell": [[6.1848, 0.0000, 0.0000], [0.0000, 6.1848, 0.0000], [3.0924, 3.0924, 6.0452]],
  "species": ["P", "Se", "Ca", "Se", "P", "P", "P", "Ca"],
  "frac_coords": [[0.3750, 0.3241, 0.7500], [0.7500, 0.2500, 0.5000], [0.5000, 0.5000, 0.0000], [0.0000, 0.0000, 0.0000], [0.0741, 0.6250, 0.2500], [0.6759, 0.1250, 0.2500], [0.8750, 0.9259, 0.7500], [0.2500, 0.7500, 0.5000]],
  "total_energy_ev_per_atom": -4.068,
  "raw_formation_energy_kj_per_mol_atoms": 1,
  "spacegroup": "No. 122"
}